(1)
Computed, not measured: a relaxed CaZnTc2O8 crystal at the PBE level of DFT.

Cell: 5.103 5.103 11.561 Å, 90.00 90.00 90.00°
Space group I-4 (No. 82)
Asymmetric unit:
Ca1 0.000 0.000 0.000 x2
Zn1 0.000 0.500 0.250 x2
Tc1 0.000 0.000 0.500 x2
Tc2 0.000 0.500 0.750 x2
O1 0.158 0.253 0.419 x8
O2 0.177 0.751 0.827 x8

Calculated values
Raw formation energy, eV per atom: -1.6029
Calculated density, g/cm3: 4.74
DFT total energy, eV/atom: -6.909
D(E_F), states/eV per cell: 9.55

***

(2)
Computed, not measured: a relaxed Ca2ZrTcO8 crystal at the PBE level of DFT.

Cell: 7.164 7.371 6.465 Å, 90.00 90.00 90.00°
Space group Cmmm (No. 65)
Asymmetric unit:
Ca1 0.000 0.000 0.249 x4
Zr1 0.000 0.500 0.500 x2
Tc1 0.000 0.500 0.000 x2
O1 0.000 0.325 0.223 x8
O2 0.217 0.000 0.500 x4
O3 0.241 0.000 0.000 x4

Calculated values
Raw formation energy, eV per atom: -2.1421
Calculated density, g/cm3: 3.87
DFT total energy, eV/atom: -7.357
D(E_F), states/eV per cell: 19.40

***

(3)
Computed, not measured: a relaxed Ca2TeO5 crystal at the PBE level of DFT.

Cell: 16.875 4.843 5.821 Å, 90.00 90.00 90.00°
Space group Ima2 (No. 46)
Asymmetric unit:
Ca1 0.158 0.097 0.000 x8
Te1 0.000 0.000 0.490 x4
O1 0.044 0.248 0.741 x8
O2 0.103 0.639 0.987 x8
O3 0.250 0.246 0.749 x4

Calculated values
Raw formation energy, eV per atom: -1.9136
Calculated density, g/cm3: 4.02
Polymorph energy (0 for the lowest one), eV/atom: 0.2573
DFT total energy, eV/atom: -5.906
D(E_F), states/eV per cell: 5.39

***

(4)
Computed, not measured: a relaxed Ca2Te2O7 crystal at the PBE level of DFT.

Cell: 7.270 9.187 5.491 Å, 90.00 91.66 90.00°
Space group Cm (No. 8)
Asymmetric unit:
Ca1 0.000 0.203 0.000 x4
Te1 0.198 0.500 0.403 x2
Te2 0.216 0.000 0.578 x2
O1 0.066 0.000 0.290 x2
O2 0.223 0.345 0.184 x4
O3 0.292 0.173 0.734 x4
O4 0.425 0.000 0.348 x2
O5 0.494 0.500 0.759 x2

Calculated values
Raw formation energy, eV per atom: -1.8359
Calculated density, g/cm3: 4.05
Polymorph energy (0 for the lowest one), eV/atom: 0.0000
DFT total energy, eV/atom: -5.926
D(E_F), states/eV per cell: 0.00

***

(5)
Computed, not measured: a relaxed Ca3Te5O12 crystal at the PBE level of DFT.

Cell: 13.713 13.713 13.713 Å, 90.00 90.00 90.00°
Space group Ia-3d (No. 230)
Asymmetric unit:
Ca1 0.000 0.250 0.125 x24
Te1 0.000 0.000 0.000 x16
Te2 0.000 0.250 0.375 x24
O1 0.018 0.052 0.651 x96

Calculated values
Raw formation energy, eV per atom: -1.3243
Calculated density, g/cm3: 4.89
DFT total energy, eV/atom: -5.385
D(E_F), states/eV per cell: 74.23

***

(6)
Computed, not measured: a relaxed Ca3Te2O crystal at the PBE level of DFT.

Cell: 6.687 13.409 14.845 Å, 90.00 93.36 90.00°
Space group C2/c (No. 15)
Asymmetric unit:
Ca1 0.000 0.002 0.250 x4
Ca2 0.000 0.413 0.250 x4
Ca3 0.198 0.338 0.865 x8
Ca4 0.239 0.093 0.543 x8
Te1 0.222 0.203 0.347 x8
Te2 0.242 0.106 0.926 x8
O1 0.229 0.500 0.334 x8

Calculated values
Raw formation energy, eV per atom: -2.0484
Calculated density, g/cm3: 3.91
Polymorph energy (0 for the lowest one), eV/atom: 0.0000
DFT total energy, eV/atom: -4.923
D(E_F), states/eV per cell: 0.00

***

(7)
Computed, not measured: a relaxed Ca5Te3O14 crystal at the PBE level of DFT.

Cell: 10.566 10.523 10.601 Å, 90.00 90.00 90.00°
Space group Cmce (No. 64)
Asymmetric unit:
Ca1 0.000 0.000 0.000 x4
Ca2 0.000 0.245 0.227 x8
Ca3 0.250 0.018 0.750 x8
Te1 0.000 0.000 0.500 x4
Te2 0.250 0.250 0.000 x8
O1 0.000 0.055 0.330 x8
O2 0.127 0.120 0.565 x16
O3 0.143 0.179 0.870 x16
O4 0.164 0.132 0.112 x16

Calculated values
Raw formation energy, eV per atom: -2.0706
Calculated density, g/cm3: 4.55
DFT total energy, eV/atom: -6.109
D(E_F), states/eV per cell: 0.00

***

(8)
Computed, not measured: a relaxed Ca2TeO6 crystal at the PBE level of DFT.

Cell: 11.141 5.629 3.801 Å, 90.00 105.40 90.00°
Space group C2/m (No. 12)
Asymmetric unit:
Ca1 0.167 0.000 0.173 x4
Te1 0.000 0.500 0.500 x2
O1 0.000 0.289 0.000 x4
O2 0.141 0.271 0.650 x8

Calculated values
Raw formation energy, eV per atom: -1.5292
Calculated density, g/cm3: 4.39
DFT total energy, eV/atom: -5.629
D(E_F), states/eV per cell: 8.60

***

(9)
Computed, not measured: a relaxed Ca2TeO5 crystal at the PBE level of DFT.

Cell: 11.193 5.484 7.600 Å, 90.00 109.73 90.00°
Space group C2/c (No. 15)
Asymmetric unit:
Ca1 0.173 0.026 0.335 x8
Te1 0.000 0.500 0.000 x4
O1 0.000 0.371 0.250 x4
O2 0.131 0.266 0.028 x8
O3 0.135 0.261 0.601 x8

Calculated values
Raw formation energy, eV per atom: -2.1710
Calculated density, g/cm3: 4.35
Polymorph energy (0 for the lowest one), eV/atom: 0.0000
DFT total energy, eV/atom: -6.163
D(E_F), states/eV per cell: 0.00

***

(10)
Computed, not measured: a relaxed Ca3Te2O crystal at the PBE level of DFT.

Cell: 11.939 8.007 6.736 Å, 90.00 90.00 90.00°
Space group Cmc2_1 (No. 36)
Asymmetric unit:
Ca1 0.000 0.136 0.000 x4
Ca2 0.136 0.486 0.338 x8
Te1 0.163 0.165 0.605 x8
O1 0.000 0.415 0.078 x4

Calculated values
Raw formation energy, eV per atom: -1.9291
Calculated density, g/cm3: 4.04
Polymorph energy (0 for the lowest one), eV/atom: 0.1193
DFT total energy, eV/atom: -4.804
D(E_F), states/eV per cell: 0.00

***

(11)
Computed, not measured: a relaxed CaTeO2 crystal at the PBE level of DFT.

Cell: 3.4311 3.4311 19.7826 Å, 90.00 90.00 120.00°
Space group R-3m (No. 166, hexagonal axes)
Asymmetric unit:
Ca1 0.0000 0.0000 0.0000 x3
Te1 0.0000 0.0000 0.5000 x3
O1 0.0000 0.0000 0.3961 x6

Calculated values
Raw formation energy, eV per atom: -1.8049
Calculated density, g/cm3: 4.93
DFT total energy, eV/atom: -5.570
D(E_F), states/eV per cell: 2.71

***

(12)
Computed, not measured: a relaxed CaTe2O5 crystal at the PBE level of DFT.

Cell: 9.616 5.847 11.205 Å, 90.00 114.38 90.00°
Space group P2_1/c (No. 14)
Asymmetric unit:
Ca1 0.025 0.195 0.141 x4
Te1 0.258 0.678 0.219 x4
Te2 0.348 0.138 0.488 x4
O1 0.115 0.647 0.585 x4
O2 0.137 0.508 0.284 x4
O3 0.205 0.527 0.843 x4
O4 0.225 0.092 0.597 x4
O5 0.477 0.606 0.091 x4

Calculated values
Raw formation energy, eV per atom: -1.6589
Calculated density, g/cm3: 4.34
Polymorph energy (0 for the lowest one), eV/atom: 0.0000
DFT total energy, eV/atom: -5.793
D(E_F), states/eV per cell: 0.00